Entry 1:
16
Lattice="8.538 0.000 0.000 0.000 12.009 0.000 0.000 0.000 4.232" Properties=species:S:1:pos:R:3 comment="Pm4As3Br | Alexandria via LeMat-Bulk | PBE-GGA | optimized geometry" space_group="No. 65" energy_ha_per_atom=-0.2143 raw_formation_energy_ev_per_atom=-1.504 pbc="T T T"
Pm 0.000 2.896 0.000
Pm 0.000 9.112 0.000
Pm 1.960 0.000 2.116
Pm 2.309 6.004 2.116
Pm 4.269 3.108 0.000
Pm 4.269 8.901 0.000
Pm 6.229 6.004 2.116
Pm 6.578 0.000 2.116
As 0.000 0.000 0.000
As 2.134 3.002 2.116
As 2.134 9.007 2.116
As 4.269 6.004 0.000
As 6.403 3.002 2.116
As 6.403 9.007 2.116
Br 0.000 6.004 0.000
Br 4.269 0.000 0.000



Entry 2:
8
Lattice="2.673 1.543 8.776 -2.673 1.543 8.776 0.000 -3.087 8.776" Properties=species:S:1:pos:R:3 comment="PrDy2TmIn4 | Alexandria via LeMat-Bulk | PBE-GGA | optimized geometry" space_group="No. 166" energy_ha_per_atom=-0.1518 e_form_kj_per_mol_atoms=-44.0 pbc="T T T"
Pr 0.000 0.000 0.000
Dy 0.000 0.000 6.561
Dy 0.000 0.000 19.767
Tm 0.000 0.000 13.164
In 0.000 0.000 3.345
In 0.000 0.000 9.934
In 0.000 0.000 16.394
In 0.000 0.000 22.983



Entry 3:
6
Lattice="0.000 3.853 3.853 3.853 0.000 3.853 3.853 3.853 0.000" Properties=species:S:1:pos:R:3 comment="DyPuPt4 | Alexandria via LeMat-Bulk | PBE-GGA | optimized geometry" space_group="No. 216" energy_ha_per_atom=-0.2996 e_form_kj_per_mol_atoms=-93.4 pbc="T T T"
Dy 0.000 0.000 0.000
Pu 5.779 5.779 5.779
Pt 2.890 2.890 2.890
Pt 4.815 4.815 2.890
Pt 4.815 2.890 4.815
Pt 2.890 4.815 4.815



Entry 4:
18
Lattice="8.355 0.000 0.000 0.000 8.355 0.000 0.000 0.000 3.980" Properties=species:S:1:pos:R:3 comment="MgPd6Pt2 | Alexandria via LeMat-Bulk | PBE-GGA | optimized geometry" space_group="No. 136" energy_ha_per_atom=-0.1925 de_polymorph_kcal_per_mol_atoms=0.00 e_form_kj_per_mol_atoms=-24.9 pbc="T T T"
Mg 0.000 0.000 0.000
Mg 4.178 4.178 1.990
Pd 0.033 2.766 0.000
Pd 1.355 7.000 1.990
Pd 1.412 4.210 1.990
Pd 2.766 0.033 0.000
Pd 2.822 2.822 0.000
Pd 4.145 6.943 1.990
Pd 4.210 1.412 1.990
Pd 5.533 5.533 0.000
Pd 5.590 8.323 0.000
Pd 6.943 4.145 1.990
Pd 7.000 1.355 1.990
Pd 8.323 5.590 0.000
Pt 1.412 1.412 1.990
Pt 2.766 5.589 0.000
Pt 5.589 2.766 0.000
Pt 6.944 6.944 1.990



Entry 5:
16
Lattice="-3.457 3.457 7.560 3.457 -3.457 7.560 3.457 3.457 -7.560" Properties=species:S:1:pos:R:3 comment="Tm5Cu2Os | Alexandria via LeMat-Bulk | PBE-GGA | optimized geometry" space_group="No. 140" energy_ha_per_atom=-0.2024 e_form_kj_per_mol_atoms=-27.4 pbc="T T T"
Tm 0.000 0.000 0.000
Tm 4.678 1.221 -2.307
Tm 1.221 2.236 -2.307
Tm 4.678 1.221 2.307
Tm 1.221 2.236 2.307
Tm 0.000 0.000 7.560
Tm 2.236 1.221 5.253
Tm -1.221 2.236 5.253
Tm 2.236 1.221 9.867
Tm -1.221 2.236 9.867
Cu 2.621 0.837 0.000
Cu 2.621 -0.837 7.560
Cu 0.837 4.294 0.000
Cu 0.837 2.621 7.560
Os 0.000 0.000 3.780
Os 0.000 0.000 11.340



Entry 6:
12
Lattice="2.558 0.000 0.000 -1.279 2.215 0.000 0.000 0.000 13.478" Properties=species:S:1:pos:R:3 comment="BC2 | Alexandria via LeMat-Bulk | PBE-GGA | optimized geometry" space_group="No. 156" energy_ha_per_atom=-0.2954 de_polymorph_kcal_per_mol_atoms=2.21 e_form_kj_per_mol_atoms=32.4 pbc="T T T"
B 0.000 0.000 0.000
B 0.000 0.000 1.689
B 0.000 1.477 2.784
B 0.000 1.477 10.611
C 0.000 0.000 6.937
C 0.000 0.000 8.500
C 0.000 1.477 4.363
C 0.000 1.477 9.004
C 1.279 0.738 4.878
C 1.279 0.738 6.435
C 1.279 0.738 11.334
C 1.279 0.738 12.733



Entry 7:
12
Lattice="6.572 0.000 0.000 0.045 6.613 0.000 0.024 0.011 9.231" Properties=species:S:1:pos:R:3 comment="CsSr2AsCl8 | Alexandria via LeMat-Bulk | PBE-GGA | optimized geometry" space_group="No. 2" energy_ha_per_atom=-0.1356 raw_formation_energy_ev_per_atom=-1.720 pbc="T T T"
Cs 0.000 0.000 0.000
Sr 3.312 3.309 2.354
Sr 3.329 3.315 6.877
As 0.012 0.006 4.616
Cl 1.532 5.595 6.370
Cl 1.534 5.605 2.856
Cl 1.613 2.074 4.620
Cl 1.742 2.767 0.003
Cl 4.898 3.857 9.228
Cl 5.027 4.550 4.611
Cl 5.106 1.019 6.375
Cl 5.108 1.028 2.861



Entry 8:
5
Lattice="4.617 0.000 0.000 0.000 4.617 0.000 0.000 0.000 7.272" Properties=species:S:1:pos:R:3 comment="BaAlTeN2 | Alexandria via LeMat-Bulk | PBE-GGA | optimized geometry" space_group="No. 123" energy_ha_per_atom=-0.1323 de_polymorph_kcal_per_mol_atoms=25.60 raw_formation_energy_ev_per_atom=1.492 pbc="T T T"
Ba 0.000 0.000 0.000
Al 2.309 2.309 3.636
Te 0.000 0.000 3.636
N 0.000 2.309 0.000
N 2.309 0.000 0.000



Entry 9:
12
Lattice="3.979 0.000 0.000 -0.495 3.985 0.000 -0.636 -0.614 5.445" Properties=species:S:1:pos:R:3 comment="NpMn2FeH8 | Alexandria via LeMat-Bulk | PBE-GGA | optimized geometry" space_group="No. 2" energy_ha_per_atom=-0.2006 pbc="T T T"
Np 0.000 0.000 0.000
Mn 1.264 1.465 1.277
Mn 1.583 1.906 4.168
Fe -0.318 -0.307 2.723
H 0.023 2.569 1.649
H 0.251 1.629 5.243
H 0.712 1.014 2.819
H 0.457 3.174 3.881
H 2.390 0.197 1.565
H 2.135 2.357 2.626
H 2.596 1.741 0.202
H 2.824 0.802 3.797



Entry 10:
6
Lattice="4.568 0.000 0.000 -2.284 3.956 0.000 0.000 0.000 7.577" Properties=species:S:1:pos:R:3 comment="CaYCu2Sn2 | Alexandria via LeMat-Bulk | PBE-GGA | optimized geometry" space_group="No. 164" energy_ha_per_atom=-0.1700 e_form_kj_per_mol_atoms=-49.7 pbc="T T T"
Ca 0.000 0.000 0.000
Y 0.000 0.000 3.788
Cu 0.000 2.637 5.414
Cu 2.284 1.319 2.163
Sn 0.000 2.637 2.023
Sn 2.284 1.319 5.554



Entry 11:
12
Lattice="7.005 0.000 0.000 0.000 7.005 0.000 0.000 0.000 7.005" Properties=species:S:1:pos:R:3 comment="InSbAs | Alexandria via LeMat-Bulk | PBE-GGA | optimized geometry" space_group="No. 216" energy_ha_per_atom=-0.1322 de_polymorph_kcal_per_mol_atoms=4.56 raw_formation_energy_ev_per_atom=0.241 pbc="T T T"
In 0.000 0.000 0.000
In 0.000 3.502 3.502
In 3.502 0.000 3.502
In 3.502 3.502 0.000
Sb 0.000 0.000 3.502
Sb 0.000 3.502 0.000
Sb 3.502 0.000 0.000
Sb 3.502 3.502 3.502
As 1.751 1.751 5.254
As 1.751 5.254 1.751
As 5.254 1.751 1.751
As 5.254 5.254 5.254



Entry 12:
4
Lattice="3.322 0.000 0.000 0.000 4.946 0.000 -0.017 0.000 5.961" Properties=species:S:1:pos:R:3 comment="TlCrIn2 | Alexandria via LeMat-Bulk | PBE-GGA | optimized geometry" space_group="No. 6" energy_ha_per_atom=-0.1470 de_polymorph_kcal_per_mol_atoms=2.54 e_form_kj_per_mol_atoms=35.3 pbc="T T T"
Tl 0.000 0.000 0.000
Cr -0.004 2.473 3.881
In 1.653 0.000 3.193
In 1.661 2.473 1.256



| no. | theoretical density (g/cm³) |
| --- | --- |
| 1 | 6.8 |
| 2 | 8.4 |
| 3 | 17.2 |
| 4 | 12.6 |
| 5 | 10.7 |
| 6 | 3.0 |
| 7 | 2.8 |
| 8 | 3.4 |
| 9 | 7.9 |
| 10 | 6.0 |
| 11 | 6.0 |
| 12 | 8.2 |